[1]
Density functional theory data (PBE-GGA) for CdCoIr2 after structural relaxation.

Structure (POSCAR):
```
CdCoIr2
1.0
4.743 0.008 0.000
1.511 4.496 0.000
-3.127 -2.252 2.765
Ir Cd Co
2 1 1
Cartesian
0.000 0.000 0.000
0.755 2.248 1.383
3.127 2.252 0.000
2.371 0.004 1.383
```

Summary:
formation energy	0.313	eV/atom
DOS at the Fermi energy	4.13	states/eV/f.u.
total energy	-24.5	eV/f.u.
crystal system	tetragonal

=====

[2]
Density functional theory data (PBE-GGA) for CdCoIr2 after structural relaxation.

Structure (POSCAR):
```
CdCoIr2
1.0
-0.434 -2.324 -1.407
1.222 -0.161 2.459
-8.209 -0.902 4.021
Co Ir Cd
1 2 1
Cartesian
-5.762 -1.919 3.542
-8.021 -0.882 3.929
-4.292 -0.472 2.102
-1.658 -1.468 1.532
```

Summary:
formation energy	0.301	eV/atom
DOS at the Fermi energy	5.29	states/eV/f.u.
total energy	-24.5	eV/f.u.
crystal system	orthorhombic

=====

[3]
Density functional theory data (PBE-GGA) for Cd2CoIr after structural relaxation.

Structure (POSCAR):
```
Cd2CoIr
1.0
-4.321 -4.840 -6.576
-5.875 -5.687 -4.299
-6.538 -3.237 -5.667
Cd Co Ir
2 1 1
Cartesian
-16.691 -13.729 -16.499
-8.410 -6.917 -8.313
-4.183 -3.441 -4.135
-12.550 -10.323 -12.406
```

Summary:
formation energy	0.337	eV/atom
DOS at the Fermi energy	4.80	states/eV/f.u.
total energy	-16.5	eV/f.u.
relative energy among the computed polymorphs	19.65	kJ per mole of atoms
crystal system	trigonal